Record 1
A plane-wave DFT calculation with PBE was carried out for an optimized crystal structure of NaYSi.

Summary:
E_form (uncorrected) = -44 kJ/mol of formula units
SG = Pmm2 (25)
Magnetization = 0.000 μB/cell

Unit cell a=4.4868 b=4.5111 c=7.4833 alpha=90.00 beta=90.00 gamma=90.00
Atoms (fractional coordinates):
Y 0.5000 0.0000 0.7730
Y 0.5000 0.5000 0.3921
Na 0.0000 0.5000 0.0375
Si 0.0000 0.5000 0.6494
Si 0.5000 0.0000 0.1520
Na 0.0000 0.0000 0.3959

=====

Record 2
A plane-wave DFT calculation with PBE was carried out for an optimized crystal structure of Na3YSi.

Summary:
E_form (uncorrected) = 691 kJ/mol of formula units
SG = Pm-3m (221)
E above lowest polymorph = 0.837 eV per atom
Magnetization = 0.000 μB/cell

Unit cell a=6.2087 b=6.2087 c=6.2087 alpha=90.00 beta=90.00 gamma=90.00
Atoms (fractional coordinates):
Si 0.5000 0.5000 0.5000
Y 0.0000 0.0000 0.0000
Na 0.0000 0.5000 0.0000
Na 0.0000 0.0000 0.5000
Na 0.5000 0.0000 0.0000

=====

Record 3
A plane-wave DFT calculation with PBE was carried out for an optimized crystal structure of NaYSi.

Summary:
E_form (uncorrected) = 25 kJ/mol of formula units
SG = P-6m2 (187)
Magnetization = 0.000 μB/cell

Unit cell a=4.9884 b=4.9884 c=3.6960 alpha=90.00 beta=90.00 gamma=120.00
Atoms (fractional coordinates):
Na 0.6667 0.3333 0.5000
Si 0.3333 0.6667 0.0000
Y 0.0000 0.0000 0.0000

=====

Record 4
A plane-wave DFT calculation with PBE was carried out for an optimized crystal structure of NaY2Si2.

Summary:
E_form (uncorrected) = -54 kJ/mol of formula units
SG = I4/mmm (139)
Magnetization = 0.000 μB/cell

Unit cell a=4.9808 b=4.9808 c=6.5953 alpha=67.81 beta=67.81 gamma=90.00
Atoms (fractional coordinates):
Y 0.2500 0.7500 0.5000
Si 0.6091 0.6091 0.7819
Y 0.7500 0.2500 0.5000
Na 0.0000 0.0000 0.0000
Si 0.3909 0.3909 0.2181

=====

Record 5
A plane-wave DFT calculation with PBE was carried out for an optimized crystal structure of NaYSi.

Summary:
E_form (uncorrected) = -77 kJ/mol of formula units
SG = Pmmn (59)
Magnetization = 0.000 μB/cell

Unit cell a=4.5545 b=11.2603 c=3.5469 alpha=90.00 beta=90.00 gamma=90.00
Atoms (fractional coordinates):
Na 0.0000 0.1230 0.0000
Y 0.5000 0.3885 0.0000
Si 0.5000 0.6524 0.0000
Y 0.0000 0.6115 0.5000
Si 0.0000 0.3476 0.5000
Na 0.5000 0.8770 0.5000

=====

Record 6
A plane-wave DFT calculation with PBE was carried out for an optimized crystal structure of Na3YSi.

Summary:
E_form (uncorrected) = 287 kJ/mol of formula units
SG = Pm-3m (221)
E above lowest polymorph = 0.000 eV per atom
Magnetization = 0.457 μB/cell

Unit cell a=5.4757 b=5.4757 c=5.4757 alpha=90.00 beta=90.00 gamma=90.00
Atoms (fractional coordinates):
Na 0.0000 0.0000 0.5000
Na 0.5000 0.0000 0.0000
Na 0.0000 0.5000 0.0000
Si 0.0000 0.0000 0.0000
Y 0.5000 0.5000 0.5000

=====

Record 7
A plane-wave DFT calculation with PBE was carried out for an optimized crystal structure of NaYSi.

Summary:
E_form (uncorrected) = -79 kJ/mol of formula units
SG = C2/m (12)
Magnetization = 0.000 μB/cell

Unit cell a=9.4641 b=5.6377 c=5.6377 alpha=135.02 beta=129.84 gamma=50.16
Atoms (fractional coordinates):
Na 0.0755 0.1049 0.8951
Na 0.9245 0.8951 0.1049
Si 0.6329 0.4936 0.5064
Y 0.3591 0.2267 0.7733
Y 0.6409 0.7733 0.2267
Si 0.3671 0.5064 0.4936

=====

Record 8
A plane-wave DFT calculation with PBE was carried out for an optimized crystal structure of NaYSi.

Summary:
E_form (uncorrected) = -20 kJ/mol of formula units
SG = P1 (1)
Magnetization = 0.000 μB/cell

Unit cell a=5.1317 b=5.7679 c=5.7021 alpha=75.61 beta=81.94 gamma=80.37
Atoms (fractional coordinates):
Si 0.5956 0.1425 0.3381
Si 0.2252 0.3498 0.5799
Na 0.1346 0.0030 0.2796
Y 0.7195 0.1053 0.8247
Y 0.6936 0.6098 0.4050
Na 0.2601 0.5784 0.9725

=====

Record 9
A plane-wave DFT calculation with PBE was carried out for an optimized crystal structure of NaYSi.

Summary:
E_form (uncorrected) = -53 kJ/mol of formula units
SG = P1 (1)
Magnetization = 0.000 μB/cell

Unit cell a=9.0439 b=3.7188 c=5.3215 alpha=110.47 beta=103.79 gamma=89.96
Atoms (fractional coordinates):
Si 0.5501 0.5437 0.2153
Si 0.3880 0.9237 0.9747
Y 0.2475 0.6008 0.3292
Y 0.5570 0.2665 0.6614
Na 0.0111 0.8227 0.7730
Na 0.8291 0.0486 0.2292

=====

Record 10
A plane-wave DFT calculation with PBE was carried out for an optimized crystal structure of NaYSi.

Summary:
E_form (uncorrected) = -112 kJ/mol of formula units
SG = P6_3/mmc (194)
Magnetization = 0.000 μB/cell

Unit cell a=5.1134 b=5.1134 c=6.0379 alpha=90.00 beta=90.00 gamma=120.00
Atoms (fractional coordinates):
Na 0.0000 0.0000 0.5000
Si 0.3333 0.6667 0.2500
Y 0.3333 0.6667 0.7500
Na 0.0000 0.0000 0.0000
Y 0.6667 0.3333 0.2500
Si 0.6667 0.3333 0.7500

=====

Record 11
A plane-wave DFT calculation with PBE was carried out for an optimized crystal structure of NaYSi.

Summary:
E_form (uncorrected) = -57 kJ/mol of formula units
SG = P-1 (2)
Magnetization = 0.000 μB/cell

Unit cell a=5.3141 b=6.5894 c=5.3136 alpha=90.53 beta=90.00 gamma=88.87
Atoms (fractional coordinates):
Si 0.7432 0.1665 0.2533
Na 0.7488 0.6099 0.2506
Si 0.2568 0.8335 0.7467
Y 0.7520 0.9999 0.7510
Na 0.2512 0.3901 0.7494
Y 0.2480 0.0001 0.2490

=====

Record 12
A plane-wave DFT calculation with PBE was carried out for an optimized crystal structure of NaY3Si.

Summary:
E_form (uncorrected) = 6 kJ/mol of formula units
SG = Pm-3m (221)
E above lowest polymorph = 0.000 eV per atom
Magnetization = 2.240 μB/cell

Unit cell a=5.5395 b=5.5395 c=5.5395 alpha=90.00 beta=90.00 gamma=90.00
Atoms (fractional coordinates):
Y 0.5000 0.0000 0.0000
Y 0.0000 0.0000 0.5000
Na 0.5000 0.5000 0.5000
Y 0.0000 0.5000 0.0000
Si 0.0000 0.0000 0.0000

=====

Record 13
A plane-wave DFT calculation with PBE was carried out for an optimized crystal structure of NaY3Si.

Summary:
E_form (uncorrected) = 477 kJ/mol of formula units
SG = Pm-3m (221)
E above lowest polymorph = 0.976 eV per atom
Magnetization = 1.474 μB/cell

Unit cell a=5.3422 b=5.3422 c=5.3422 alpha=90.00 beta=90.00 gamma=90.00
Atoms (fractional coordinates):
Y 0.0000 0.0000 0.5000
Na 0.0000 0.0000 0.0000
Y 0.5000 0.0000 0.0000
Si 0.5000 0.5000 0.5000
Y 0.0000 0.5000 0.0000

=====

Record 14
A plane-wave DFT calculation with PBE was carried out for an optimized crystal structure of NaYSi.

Summary:
E_form (uncorrected) = -65 kJ/mol of formula units
SG = P2_1/m (11)
Magnetization = 0.000 μB/cell

Unit cell a=7.0233 b=5.0523 c=5.0578 alpha=90.00 beta=90.07 gamma=90.00
Atoms (fractional coordinates):
Y 0.4995 0.2500 0.2500
Na 0.0006 0.7500 0.7503
Si 0.2933 0.2500 0.7497
Na 0.9994 0.2500 0.2497
Y 0.5005 0.7500 0.7500
Si 0.7067 0.7500 0.2503